The following is a PBE calculation of Cd12Hg5Cl3 after structural relaxation, from Alexandria.

- crystal system = cubic
- total energy (hartree per atom) = -0.03384
- ΔE_f (raw) (eV/atom) = -0.02

Unit cell a=15.046 b=15.046 c=15.046 alpha=109.47 beta=109.47 gamma=109.47
Fractional coordinates of all 80 atoms:
Cd 0.044 0.220 0.093
Cd 0.044 0.324 0.951
Cd 0.049 0.593 0.373
Cd 0.049 0.956 0.676
Cd 0.093 0.044 0.220
Cd 0.093 0.549 0.873
Cd 0.127 0.720 0.676
Cd 0.127 0.907 0.451
Cd 0.176 0.220 0.627
Cd 0.176 0.456 0.549
Cd 0.220 0.093 0.044
Cd 0.220 0.627 0.176
Cd 0.280 0.324 0.873
Cd 0.280 0.456 0.407
Cd 0.324 0.873 0.280
Cd 0.324 0.951 0.044
Cd 0.373 0.049 0.593
Cd 0.373 0.824 0.780
Cd 0.407 0.280 0.456
Cd 0.407 0.627 0.951
Cd 0.451 0.127 0.907
Cd 0.451 0.824 0.544
Cd 0.456 0.407 0.280
Cd 0.456 0.549 0.176
Cd 0.544 0.451 0.824
Cd 0.544 0.593 0.720
Cd 0.549 0.176 0.456
Cd 0.549 0.873 0.093
Cd 0.593 0.373 0.049
Cd 0.593 0.720 0.544
Cd 0.627 0.176 0.220
Cd 0.627 0.951 0.407
Cd 0.676 0.049 0.956
Cd 0.676 0.127 0.720
Cd 0.720 0.544 0.593
Cd 0.720 0.676 0.127
Cd 0.780 0.373 0.824
Cd 0.780 0.907 0.956
Cd 0.824 0.544 0.451
Cd 0.824 0.780 0.373
Cd 0.873 0.093 0.549
Cd 0.873 0.280 0.324
Cd 0.907 0.451 0.127
Cd 0.907 0.956 0.780
Cd 0.951 0.044 0.324
Cd 0.951 0.407 0.627
Cd 0.956 0.676 0.049
Cd 0.956 0.780 0.907
Hg 0.000 0.000 0.000
Hg 0.000 0.000 0.500
Hg 0.000 0.500 0.000
Hg 0.000 0.500 0.500
Hg 0.125 0.750 0.875
Hg 0.125 0.875 0.250
Hg 0.250 0.125 0.875
Hg 0.250 0.625 0.375
Hg 0.375 0.250 0.625
Hg 0.375 0.625 0.750
Hg 0.500 0.000 0.000
Hg 0.500 0.000 0.500
Hg 0.500 0.500 0.000
Hg 0.500 0.500 0.500
Hg 0.625 0.375 0.250
Hg 0.625 0.750 0.375
Hg 0.750 0.375 0.625
Hg 0.750 0.875 0.125
Hg 0.875 0.125 0.750
Hg 0.875 0.250 0.125
Cl 0.125 0.250 0.375
Cl 0.125 0.375 0.750
Cl 0.250 0.375 0.125
Cl 0.250 0.875 0.625
Cl 0.375 0.125 0.250
Cl 0.375 0.750 0.125
Cl 0.625 0.250 0.875
Cl 0.625 0.875 0.750
Cl 0.750 0.125 0.375
Cl 0.750 0.625 0.875
Cl 0.875 0.625 0.250
Cl 0.875 0.750 0.625